# 1
DFT (PBE) results for a geometry-optimized SmHg2Au structure.

Structure (POSCAR):
```
SmHg2Au
1.0
4.4202 0.0000 0.0000
0.0000 4.4202 0.0000
0.0000 0.0000 4.9535
Sm Hg Au
1 2 1
Direct
0.0000 0.0000 0.0000
0.0000 0.5000 0.5000
0.5000 0.0000 0.5000
0.5000 0.5000 0.0000
```

Properties
V ... 24.2 A^3/atom
Formation energy from the elements ... -0.405 eV/atom

=====

# 2
DFT (PBE) results for a geometry-optimized Be2AuBr structure.

Structure (POSCAR):
```
Be2AuBr
1.0
3.5164 0.0000 0.0000
0.0000 3.2585 0.0000
-0.6969 0.0000 7.2915
Be Au Br
2 1 1
Direct
0.0000 0.0000 0.0000
0.0492 0.5000 0.2484
0.5450 0.0000 0.2274
0.9619 0.5000 0.8033
```

Properties
Energy above the most stable polymorph in this dataset ... 21.8 kJ/mol of formula units
V ... 20.9 A^3/atom

=====

# 3
DFT (PBE) results for a geometry-optimized NdDy3Ho2As6 structure.

Structure (POSCAR):
```
NdDy3Ho2As6
1.0
3.5848 -6.2079 0.0000
3.5848 6.2079 0.0000
-2.3893 0.0000 6.7595
Nd Dy Ho As
1 3 2 6
Direct
0.0000 0.0000 0.0000
0.1652 0.8348 0.5000
0.5000 0.5000 0.5000
0.8348 0.1652 0.5000
0.3329 0.6671 0.0000
0.6671 0.3329 0.0000
0.0843 0.4233 0.2526
0.2552 0.2552 0.7483
0.4233 0.0843 0.2526
0.5767 0.9157 0.7474
0.7448 0.7448 0.2517
0.9157 0.5767 0.7474
```

Properties
V ... 25.1 A^3/atom
Formation energy from the elements ... -1.523 eV/atom

=====

# 4
DFT (PBE) results for a geometry-optimized SrNb2CrPd structure.

Structure (POSCAR):
```
SrNb2CrPd
1.0
4.8261 0.0000 0.0000
0.0000 4.8261 0.0000
0.0000 0.0000 4.3533
Sr Nb Cr Pd
1 2 1 1
Direct
0.0000 0.0000 0.0000
0.0000 0.5000 0.0000
0.5000 0.0000 0.0000
0.0000 0.0000 0.5000
0.5000 0.5000 0.5000
```

Properties
V ... 20.3 A^3/atom
Formation energy from the elements ... 2.567 eV/atom

=====

# 5
DFT (PBE) results for a geometry-optimized MgAl2Rh structure.

Structure (POSCAR):
```
MgAl2Rh
1.0
0.0000 3.1261 3.1261
3.1261 0.0000 3.1261
3.1261 3.1261 0.0000
Mg Al Rh
1 2 1
Direct
0.0000 0.0000 0.0000
0.2500 0.2500 0.2500
0.5000 0.5000 0.5000
0.7500 0.7500 0.7500
```

Properties
V ... 15.3 A^3/atom
Formation energy from the elements ... -0.374 eV/atom

=====

# 6
DFT (PBE) results for a geometry-optimized RbCa2YCl8 structure.

Structure (POSCAR):
```
RbCa2YCl8
1.0
6.4399 0.0000 0.0000
0.0000 8.7834 0.0000
-0.0850 0.0000 6.6629
Rb Ca Y Cl
1 2 1 8
Direct
0.0000 0.0000 0.0000
0.5000 0.2476 0.5000
0.5000 0.7524 0.5000
0.0000 0.5000 0.0000
0.2353 0.2909 0.1743
0.2353 0.7091 0.1743
0.2671 0.5000 0.6816
0.2815 0.0000 0.6248
0.7185 0.0000 0.3752
0.7329 0.5000 0.3184
0.7647 0.2909 0.8257
0.7647 0.7091 0.8257
```

Properties
Total energy ... -53.3 eV per cell
V ... 31.4 A^3/atom

=====

# 7
DFT (PBE) results for a geometry-optimized LiTaTl structure.

Structure (POSCAR):
```
LiTaTl
1.0
4.5283 0.0000 0.0000
-2.2642 3.9217 0.0000
0.0000 0.0000 3.0906
Li Ta Tl
1 1 1
Direct
0.0000 0.0000 0.0000
0.6667 0.3333 0.4986
0.3333 0.6667 0.9974
```

Properties
Energy above the most stable polymorph in this dataset ... 22.6 kJ/mol of formula units
V ... 18.3 A^3/atom
Formation energy from the elements ... 0.488 eV/atom

=====

# 8
DFT (PBE) results for a geometry-optimized BaAlPd3 structure.

Structure (POSCAR):
```
BaAlPd3
1.0
4.8420 0.0000 0.0000
0.0000 4.8420 0.0000
0.0000 0.0000 4.8420
Ba Al Pd
1 1 3
Direct
0.0000 0.0000 0.0000
0.5000 0.5000 0.5000
0.0000 0.5000 0.5000
0.5000 0.0000 0.5000
0.5000 0.5000 0.0000
```

Properties
Energy above the most stable polymorph in this dataset ... 65.5 kJ/mol of formula units
V ... 22.7 A^3/atom
Formation energy from the elements ... -0.447 eV/atom

=====

Q: Which value of V does entry 5 give?
A: 15.3 A^3/atom

=====

Q: What is the V in the seventh record?
A: 18.3 A^3/atom

=====

Q: V of number 6 (RbCa2YCl8)?
A: 31.4 A^3/atom